DFT (GGA+U) results for a relaxed Na2Mn3O6 crystal.

abc: 5.2010 5.2010 5.7414
angles: 97.82 97.82 121.58
Sites, in units of the cell vectors:
Na 0.1633 0.8367 0.0000
Na 0.8367 0.1633 0.0000
Mn 0.0000 0.0000 0.5000
Mn 0.3337 0.6663 0.5000
Mn 0.6663 0.3337 0.5000
O 0.0649 0.4017 0.6875
O 0.2615 0.2615 0.3115
O 0.4017 0.0649 0.6875
O 0.5983 0.9351 0.3125
O 0.7385 0.7385 0.6885
O 0.9351 0.5983 0.3125

Raw total energy   -6.47 eV/atom
Total moment   8.981 μB/f.u.